Entry from the Alexandria database: a geometry-optimized K2SrTiH structure (GGA-PBE).

Unit cell a=5.4860 b=5.6703 c=5.4860 alpha=90.00 beta=90.00 gamma=90.00
With the nearest neighbours (Å) after each atom.
Fractional coordinates of all 5 atoms:
Sr: 0.0000 0.5000 0.0000  2 H 2.84
K: 0.0000 0.0000 0.5000  2 H 2.74
K: 0.5000 0.0000 0.0000  2 H 2.74
H: 0.0000 0.0000 0.0000  4 K 2.74, 2 Sr 2.84
Ti: 0.5000 0.5000 0.5000  4 Sr 3.88, 8 K 3.94

**Total magnetic moment**: 4.201 μB/f.u.
**Electronic total energy**: -2.4719 eV/atom

---

Entry from the Alexandria database: a geometry-optimized TbPmPuO6 structure (GGA-PBE).

Unit cell a=5.7850 b=5.7850 c=9.6599 alpha=90.00 beta=90.00 gamma=120.00
With the nearest neighbours (Å) after each atom.
Fractional coordinates of all 18 atoms:
Tb: 0.3333 0.6667 0.2500  6 O 2.29
Tb: 0.6667 0.3333 0.7500  6 O 2.29
Pm: 0.0000 0.0000 0.0000  6 O 2.41
Pm: 0.0000 0.0000 0.5000  6 O 2.41
Pu: 0.6667 0.3333 0.2500  6 O 2.08
Pu: 0.3333 0.6667 0.7500  6 O 2.08
O: 0.6645 0.6370 0.1358  1 Pu 2.08, 1 Tb 2.29
O: 0.9725 0.3355 0.1358  1 Pu 2.08, 1 Tb 2.29
O: 0.3355 0.9725 0.6358  1 Pu 2.08, 1 Tb 2.29
O: 0.0275 0.6646 0.8642  1 Pu 2.08, 1 Tb 2.29
O: 0.3630 0.3355 0.3642  1 Pu 2.08, 1 Tb 2.29
O: 0.9725 0.6370 0.3642  1 Pu 2.08, 1 Tb 2.29
O: 0.6370 0.9725 0.8642  1 Pu 2.08, 1 Tb 2.29
O: 0.6645 0.0275 0.3642  1 Pu 2.08, 1 Tb 2.29
O: 0.0275 0.3630 0.6358  1 Pu 2.08, 1 Tb 2.29
O: 0.3630 0.0275 0.1358  1 Pu 2.08, 1 Tb 2.29
O: 0.6370 0.6646 0.6358  1 Pu 2.08, 1 Tb 2.29
O: 0.3355 0.3630 0.8642  1 Pu 2.08, 1 Tb 2.29

**Total magnetic moment**: 2.000 μB/f.u.
**ΔE_f (raw)**: -3.0368 eV/atom
**Electronic total energy**: -8.9771 eV/atom

---

Entry from the Alexandria database: a geometry-optimized CrGaS3 structure (GGA-PBE).

Unit cell a=3.5004 b=6.3115 c=10.0889 alpha=125.13 beta=90.00 gamma=90.00
With the nearest neighbours (Å) after each atom.
Fractional coordinates of all 10 atoms:
Cr: 0.2500 0.0571 0.1246  5 S 2.19-2.41
Cr: 0.7500 0.9429 0.8754  5 S 2.19-2.41
Ga: 0.2500 0.2658 0.6248  4 S 2.23-2.45
Ga: 0.7500 0.7342 0.3752  4 S 2.23-2.45
S: 0.2500 0.2425 0.9959  3 Cr 2.19-2.34
S: 0.7500 0.7575 0.0041  3 Cr 2.19-2.34
S: 0.2500 0.9313 0.3322  3 Ga 2.33-2.45
S: 0.7500 0.0687 0.6678  3 Ga 2.33-2.45
S: 0.2500 0.6688 0.6904  1 Ga 2.23, 2 Cr 2.41
S: 0.7500 0.3312 0.3096  1 Ga 2.23, 2 Cr 2.41

**Total magnetic moment**: 1.016 μB/f.u.
**ΔE_f (raw)**: -0.5591 eV/atom
**Electronic total energy**: -5.5657 eV/atom

---

Entry from the Alexandria database: a geometry-optimized CaCdGePd structure (GGA-PBE).

Unit cell a=4.8137 b=4.8137 c=4.8137 alpha=60.00 beta=60.00 gamma=60.00
With the nearest neighbours (Å) after each atom.
Fractional coordinates of all 4 atoms:
Ge: 0.7500 0.7500 0.7500  4 Ca 2.95, 4 Pd 2.95
Ca: 0.5000 0.5000 0.5000  4 Ge 2.95, 4 Cd 2.95
Pd: 0.0000 0.0000 0.0000  4 Ge 2.95, 4 Cd 2.95
Cd: 0.2500 0.2500 0.2500  4 Pd 2.95, 4 Ca 2.95

**Total magnetic moment**: 0.000 μB/f.u.
**Calculated formation energy**: -0.396 eV/atom
**Electronic total energy**: -3.5775 eV/atom

---

Entry from the Alexandria database: a geometry-optimized ScIn3Br6 structure (GGA-PBE).

Unit cell a=7.4340 b=8.5990 c=11.0613 alpha=90.00 beta=94.21 gamma=90.00
With the nearest neighbours (Å) after each atom.
Fractional coordinates of all 20 atoms:
Sc: 0.5000 0.5000 0.5000  6 Br 2.67-2.68
Sc: 0.0000 0.0000 0.0000  6 Br 2.67-2.68
In: 0.4673 0.0818 0.7723  6 Br 3.24-3.59
In: 0.5000 0.5000 0.0000  6 Br 3.29-3.35
In: 0.5327 0.9182 0.2277  6 Br 3.24-3.59
In: 0.9673 0.4182 0.2723  6 Br 3.24-3.59
In: 0.0000 0.0000 0.5000  6 Br 3.29-3.35
In: 0.0327 0.5818 0.7277  6 Br 3.24-3.59
Br: 0.3009 0.8397 0.9637  1 Sc 2.68
Br: 0.3455 0.7601 0.5768  1 Sc 2.68
Br: 0.3699 0.5638 0.2735  1 Sc 2.67
Br: 0.6301 0.4362 0.7265  1 Sc 2.67
Br: 0.6545 0.2399 0.4232  1 Sc 2.68
Br: 0.6991 0.1603 0.0363  1 Sc 2.68
Br: 0.8009 0.6603 0.4637  1 Sc 2.68
Br: 0.8455 0.7399 0.0768  1 Sc 2.68
Br: 0.8699 0.9362 0.7735  1 Sc 2.67
Br: 0.1301 0.0638 0.2265  1 Sc 2.67
Br: 0.1545 0.2601 0.9232  1 Sc 2.68
Br: 0.1991 0.3397 0.5363  1 Sc 2.68

**Total magnetic moment**: 0.000 μB/f.u.
**ΔE_f (raw)**: -1.0813 eV/atom
**Electronic total energy**: -3.5397 eV/atom

---

Entry from the Alexandria database: a geometry-optimized FeAsW3 structure (GGA-PBE).

Unit cell a=4.4922 b=4.4922 c=4.4922 alpha=90.00 beta=90.00 gamma=90.00
With the nearest neighbours (Å) after each atom.
Fractional coordinates of all 5 atoms:
As: 0.5000 0.5000 0.5000  12 W 3.18
Fe: 0.0000 0.0000 0.0000  6 W 2.25
W: 0.0000 0.5000 0.0000  2 Fe 2.25
W: 0.0000 0.0000 0.5000  2 Fe 2.25
W: 0.5000 0.0000 0.0000  2 Fe 2.25

**Total magnetic moment**: 0.000 μB/f.u.
**Calculated formation energy**: 1.440 eV/atom
**Electronic total energy**: -8.9548 eV/atom

---

Entry from the Alexandria database: a geometry-optimized SmTlSnI6 structure (GGA-PBE).

Unit cell a=8.0883 b=8.0883 c=15.2519 alpha=90.00 beta=90.00 gamma=120.00
With the nearest neighbours (Å) after each atom.
Fractional coordinates of all 18 atoms:
Sm: 0.6667 0.3333 0.2500  6 I 3.11
Sm: 0.3333 0.6667 0.7500  6 I 3.11
Tl: 0.0000 0.0000 0.0000  6 I 3.55
Tl: 0.0000 0.0000 0.5000  6 I 3.55
Sn: 0.3333 0.6667 0.2500  6 I 3.20
Sn: 0.6667 0.3333 0.7500  6 I 3.20
I: 0.6431 0.6341 0.1323  1 Sm 3.11, 1 Sn 3.20
I: 0.9910 0.3569 0.1323  1 Sm 3.11, 1 Sn 3.20
I: 0.3569 0.9910 0.6323  1 Sm 3.11, 1 Sn 3.20
I: 0.0090 0.6431 0.8677  1 Sm 3.11, 1 Sn 3.20
I: 0.3659 0.3569 0.3677  1 Sm 3.11, 1 Sn 3.20
I: 0.9910 0.6341 0.3677  1 Sm 3.11, 1 Sn 3.20
I: 0.6341 0.9910 0.8677  1 Sm 3.11, 1 Sn 3.20
I: 0.6431 0.0090 0.3677  1 Sm 3.11, 1 Sn 3.20
I: 0.0090 0.3659 0.6323  1 Sm 3.11, 1 Sn 3.20
I: 0.3659 0.0090 0.1323  1 Sm 3.11, 1 Sn 3.20
I: 0.6341 0.6431 0.6323  1 Sm 3.11, 1 Sn 3.20
I: 0.3569 0.3659 0.8677  1 Sm 3.11, 1 Sn 3.20

**Total magnetic moment**: 0.000 μB/f.u.
**ΔE_f (raw)**: -0.9441 eV/atom
**Electronic total energy**: -3.2096 eV/atom

---

Entry from the Alexandria database: a geometry-optimized Ce5OsBr5 structure (GGA-PBE).

Unit cell a=5.9740 b=7.1805 c=8.6854 alpha=108.25 beta=90.00 gamma=114.58
With the nearest neighbours (Å) after each atom.
Fractional coordinates of all 11 atoms:
Ce: 0.8285 0.6571 0.1372  1 Os 2.88, 4 Br 3.04-3.18
Ce: 0.8521 0.7043 0.7091  1 Os 2.60
Ce: 0.5000 0.0000 0.0000  2 Os 2.99, 4 Br 3.05-3.11
Ce: 0.1479 0.2957 0.2909  1 Os 2.60
Ce: 0.1715 0.3429 0.8628  1 Os 2.88, 4 Br 3.04-3.18
Os: 0.0000 0.0000 0.0000  4 Ce 2.60-2.88
Br: 0.6701 0.3402 0.3534  5 Ce 3.03-3.24
Br: 0.6475 0.2950 0.7932  5 Ce 3.00-3.11
Br: 0.0000 0.0000 0.5000  4 Ce 3.07-3.18
Br: 0.3525 0.7050 0.2068  5 Ce 3.00-3.11
Br: 0.3299 0.6598 0.6466  5 Ce 3.03-3.24

**Total magnetic moment**: 5.174 μB/f.u.
**ΔE_f (raw)**: -1.1188 eV/atom
**Electronic total energy**: -5.5973 eV/atom

---

| no. | D(E_F) (states/eV per cell) |
| --- | --- |
| 1 | 9.87 |
| 2 | 14.63 |
| 3 | 1.66 |
| 4 | 1.18 |
| 5 | 0.00 |
| 6 | 5.24 |
| 7 | 0.00 |
| 8 | 30.93 |